1.
# GGA-PBE Ca2ZnAg, optimized geometry
data_Ca2ZnAg
_cell_length_a 11.418
_cell_length_b 3.491
_cell_length_c 5.363
_cell_angle_alpha 90.00
_cell_angle_beta 108.42
_cell_angle_gamma 90.00
_space_group_name_H-M_alt 'C 1 m 1'
_space_group_IT_number 8
_space_group_name_Hall 'C -2y'
loop_
_atom_site_label
_atom_site_fract_x
_atom_site_fract_y
_atom_site_fract_z
Ca1 0.000 0.000 0.000
Ca2 0.202 0.000 0.638
Zn1 0.255 0.500 0.175
Ag1 0.444 0.000 0.454
# D(E_F) (states/eV/f.u.): 2.95
# Energy (eV per formula unit): -8.92

2.
# GGA-PBE PmAu2, optimized geometry
data_PmAu2
_cell_length_a 3.842
_cell_length_b 3.842
_cell_length_c 9.234
_cell_angle_alpha 90.00
_cell_angle_beta 90.00
_cell_angle_gamma 90.00
_space_group_name_H-M_alt 'I 4/m m m'
_space_group_IT_number 139
_space_group_name_Hall '-I 4 2'
loop_
_atom_site_label
_atom_site_fract_x
_atom_site_fract_y
_atom_site_fract_z
Pm1 0.000 0.000 0.000
Au1 0.000 0.000 0.335
# D(E_F) (states/eV/f.u.): 1.36
# Energy above the lowest structure with this stoichiometry (meV per atom): 0

3.
# GGA-PBE Ho3ScAg3Te8, optimized geometry
data_Ho3ScAg3Te8
_cell_length_a 14.944
_cell_length_b 8.640
_cell_length_c 8.650
_cell_angle_alpha 90.00
_cell_angle_beta 125.27
_cell_angle_gamma 90.00
_space_group_name_H-M_alt 'C 1 2/m 1'
_space_group_IT_number 12
_space_group_name_Hall '-C 2y'
loop_
_atom_site_label
_atom_site_fract_x
_atom_site_fract_y
_atom_site_fract_z
Ho1 0.000 0.000 0.000
Ho2 0.250 0.250 0.500
Sc1 0.000 0.500 0.000
Ag1 0.000 0.500 0.500
Ag2 0.250 0.250 0.000
Te1 0.002 0.258 0.757
Te2 0.244 0.500 0.242
Te3 0.248 0.500 0.751
# ΔE_f (raw) (eV per atom): -0.85
# D(E_F) (states/eV/f.u.): 4.43

Which formula does entry 1 have? Ca2ZnAg